This record from Alexandria describes a relaxed structure of Pr4Bi5H. The functional is PBE.

Unit cell a=9.206 b=9.206 c=8.397 alpha=107.22 beta=107.22 gamma=28.64
Fractional coordinates of all 10 atoms:
Pr 0.039 0.039 0.246
Pr 0.356 0.356 0.051
Pr 0.644 0.644 0.949
Pr 0.961 0.961 0.754
Bi 0.145 0.145 0.650
Bi 0.213 0.213 0.232
Bi 0.500 0.500 0.500
Bi 0.787 0.787 0.768
Bi 0.855 0.855 0.350
H 0.500 0.500 0.000

This record from Alexandria describes a relaxed structure of NaSr2Mn. The functional is PBE.

Values from the calculation:
Its polymorph energy (0 for the lowest one) is 0.78 eV per formula unit.

Unit cell a=7.483 b=7.483 c=7.483 alpha=104.48 beta=104.48 gamma=120.00
Fractional coordinates of all 8 atoms:
Na 0.000 0.000 0.000
Na 0.750 0.250 0.500
Sr 0.154 0.625 0.029
Sr 0.375 0.404 0.529
Sr 0.596 0.125 0.971
Sr 0.875 0.846 0.471
Mn 0.250 0.750 0.500
Mn 0.500 0.500 0.000

| no. | uncorrected energy (eV/f.u.) | density (Mg/m³) | magnetic moment (μB per atom) |
| --- | --- | --- | --- |
| 1 | -46.03 | 8.23 | 0.00 |
| 2 | -11.53 | 2.68 | 0.95 |